(1)
# PBE Ba2AgC2O6, relaxed
data_Ba2AgC2O6
_chemical_formula_sum 'Ba4 Ag2 C4 O12'
_cell_length_a 10.5580
_cell_length_b 5.2483
_cell_length_c 7.2772
_cell_angle_alpha 90.00
_cell_angle_beta 118.31
_cell_angle_gamma 90.00
_symmetry_space_group_name_H-M 'C 1 2/m 1'
_symmetry_Int_Tables_number 12
_symmetry_space_group_name_Hall '-C 2y'
loop_
_atom_site_label
_atom_site_type_symbol
_atom_site_fract_x
_atom_site_fract_y
_atom_site_fract_z
_atom_site_occupancy
Ba1 Ba 0.2025 0.0000 0.2196 1
Ag1 Ag 0.0000 0.0000 0.5000 1
C1 C 0.0076 0.5000 0.2101 1
O1 O 0.0625 0.2852 0.8461 1
O2 O 0.1466 0.5000 0.3307 1
# * formation energy from raw total energies: -1.78 eV per atom
# * DOS(E_F): 0.19 states/eV/atom
# * E: -6.771 eV per atom

(2)
# PBE BaAg2PbC, relaxed
data_BaAg2PbC
_chemical_formula_sum 'Ba1 Ag2 Pb1 C1'
_cell_length_a 4.6488
_cell_length_b 4.6488
_cell_length_c 5.4996
_cell_angle_alpha 90.00
_cell_angle_beta 90.00
_cell_angle_gamma 90.00
_symmetry_space_group_name_H-M 'P 4/m m m'
_symmetry_Int_Tables_number 123
_symmetry_space_group_name_Hall '-P 4 2'
loop_
_atom_site_label
_atom_site_type_symbol
_atom_site_fract_x
_atom_site_fract_y
_atom_site_fract_z
_atom_site_occupancy
Ba1 Ba 0.0000 0.0000 0.0000 1
Ag1 Ag 0.0000 0.5000 0.5000 1
Pb1 Pb 0.5000 0.5000 0.0000 1
C1 C 0.5000 0.5000 0.5000 1
# * E_form: 0.665 eV per atom
# * DOS(E_F): 0.52 states/eV/atom
# * E: -3.447 eV per atom

(3)
# PBE BaAgRhC2, relaxed
data_BaAgRhC2
_chemical_formula_sum 'Ba1 Ag1 Rh1 C2'
_cell_length_a 4.1737
_cell_length_b 4.1737
_cell_length_c 5.1448
_cell_angle_alpha 90.00
_cell_angle_beta 90.00
_cell_angle_gamma 90.00
_symmetry_space_group_name_H-M 'P 4/m m m'
_symmetry_Int_Tables_number 123
_symmetry_space_group_name_Hall '-P 4 2'
loop_
_atom_site_label
_atom_site_type_symbol
_atom_site_fract_x
_atom_site_fract_y
_atom_site_fract_z
_atom_site_occupancy
Ba1 Ba 0.0000 0.0000 0.0000 1
Ag1 Ag 0.5000 0.5000 0.0000 1
Rh1 Rh 0.5000 0.5000 0.5000 1
C1 C 0.0000 0.5000 0.5000 1
# * E_form: 1.086 eV per atom
# * DOS(E_F): 0.89 states/eV/atom
# * E: -5.029 eV per atom